# 1
VASP calculation (GGA-PBE) on crystalline NdGa5Ir2 at its relaxed geometry.

Unit cell a=4.0257 b=7.2915 c=10.1232 alpha=90.00 beta=90.00 gamma=90.00
Last column: nearest neighbours and their distance in Å.
Space group Immm (No. 71)
Symmetry-distinct sites (fractional):
Nd: 0.0000 0.0000 0.0000 [2 per cell]  4 Ir 3.33, 10 Ga 3.34-3.65
Ga: 0.0000 0.1975 0.3512 [8 per cell]  3 Ir 2.49-2.63
Ga: 0.0000 0.5000 0.0000 [2 per cell]  2 Ir 2.41
Ir: 0.0000 0.5000 0.2377 [4 per cell]  7 Ga 2.41-2.63

Computed properties:
The calculation puts the formation enthalpy at 0 K at -0.5462 eV per atom. The calculation puts the density at 9.80 g/cm3.

***

# 2
VASP calculation (GGA-PBE) on crystalline Nd2GaIr at its relaxed geometry.

Unit cell a=4.0924 b=4.0924 c=28.4514 alpha=90.00 beta=90.00 gamma=120.00
Last column: nearest neighbours and their distance in Å.
Space group R-3m (No. 166, hexagonal axes)
Symmetry-distinct sites (fractional):
Nd: 0.0000 0.0000 0.1121 [6 per cell]  3 Ir 2.83
Ga: 0.0000 0.0000 0.0000 [3 per cell]  2 Nd 3.19
Ir: 0.0000 0.0000 0.5000 [3 per cell]  6 Nd 2.83

Computed properties:
The calculation puts the formation enthalpy at 0 K at -0.1684 eV per atom. The calculation puts the density at 6.64 g/cm3.

***

Question: Among the records above, which one has the lowest formation enthalpy at 0 K?
Answer: NdGa5Ir2